First-principles (GGA-PBE) data for a relaxed structure of Be2Ru2Pt, as listed in the Alexandria database.

Properties
Density ... 11020 kg/m³
Formation energy from the elements ... 0.0462 eV per atom
Offset from the most stable computed form ... 0.319 eV per atom
Calculated total energy ... -63.63 eV/cell

abc: 6.7862 6.7862 2.7175
angles: 90.00 90.00 90.00
With the nearest neighbours (Å) after each atom.
Positions (direct):
Be: 0.1695 0.3305 0.0000  6 Ru 2.38-2.44
Be: 0.3305 0.8305 0.0000  6 Ru 2.38-2.44
Be: 0.6695 0.1695 0.0000  6 Ru 2.38-2.44
Be: 0.8305 0.6695 0.0000  6 Ru 2.38-2.44
Ru: 0.1266 0.6266 0.5000  6 Be 2.38-2.44, 1 Ru 2.43
Ru: 0.3734 0.1266 0.5000  6 Be 2.38-2.44, 1 Ru 2.43
Ru: 0.6266 0.8734 0.5000  6 Be 2.38-2.44, 1 Ru 2.43
Ru: 0.8734 0.3734 0.5000  6 Be 2.38-2.44, 1 Ru 2.43
Pt: 0.0000 0.0000 0.5000  4 Ru 2.68, 2 Pt 2.72, 8 Be 2.86
Pt: 0.5000 0.5000 0.5000  4 Ru 2.68, 2 Pt 2.72, 8 Be 2.86